# 1
{
  "formula": "CrReRu2",
  "functional": "PBE",
  "state": "relaxed",
  "formation_energy_ev_per_fu": 0.3,
  "energy_ha_per_atom": -0.3704,
  "de_polymorph_mev_per_atom": 10,
  "lattice_angstrom": [[2.700, 0.000, 0.000], [0.000, 3.773, 0.000], [0.000, 0.000, 5.401]],
  "species": ["Cr", "Re", "Ru", "Ru"],
  "fractional_positions": [[0.000, 0.000, 0.000], [0.000, 0.000, 0.500], [0.500, 0.500, 0.241], [0.500, 0.500, 0.759]]
}

# 2
{
  "formula": "Mg2Fe2Au",
  "functional": "PBE",
  "state": "relaxed",
  "formation_energy_ev_per_fu": 0.6,
  "energy_ha_per_atom": -0.1675,
  "lattice_angstrom": [[6.503, 0.000, 0.000], [0.000, 6.503, 0.000], [0.000, 0.000, 3.905]],
  "species": ["Mg", "Mg", "Mg", "Mg", "Fe", "Fe", "Fe", "Fe", "Au", "Au"],
  "fractional_positions": [[0.178, 0.322, 0.000], [0.322, 0.822, 0.000], [0.678, 0.178, 0.000], [0.822, 0.678, 0.000], [0.115, 0.615, 0.500], [0.385, 0.115, 0.500], [0.615, 0.885, 0.500], [0.885, 0.385, 0.500], [0.000, 0.000, 0.500], [0.500, 0.500, 0.500]]
}

# 3
{
  "formula": "Tb12Tm7Pb",
  "functional": "PBE",
  "state": "relaxed",
  "formation_energy_ev_per_fu": 3.1,
  "energy_ha_per_atom": -0.1607,
  "lattice_angstrom": [[6.018, 3.475, 5.060], [-6.018, 3.475, 5.060], [0.000, -6.949, 5.060]],
  "species": ["Tb", "Tb", "Tb", "Tb", "Tb", "Tb", "Tb", "Tb", "Tb", "Tb", "Tb", "Tb", "Tm", "Tm", "Tm", "Tm", "Tm", "Tm", "Tm", "Pb"],
  "fractional_positions": [[0.000, 0.355, 0.883], [0.000, 0.645, 0.117], [0.117, 0.000, 0.645], [0.234, 0.631, 0.759], [0.241, 0.766, 0.369], [0.355, 0.883, 0.000], [0.369, 0.241, 0.766], [0.631, 0.759, 0.234], [0.645, 0.117, 0.000], [0.759, 0.234, 0.631], [0.766, 0.369, 0.241], [0.883, 0.000, 0.355], [0.000, 0.000, 0.000], [0.117, 0.353, 0.443], [0.353, 0.443, 0.117], [0.443, 0.117, 0.353], [0.557, 0.883, 0.647], [0.647, 0.557, 0.883], [0.883, 0.647, 0.557], [0.500, 0.500, 0.500]]
}

# 4
{
  "formula": "NaCd3Ag",
  "functional": "PBE",
  "state": "relaxed",
  "formation_energy_ev_per_fu": -0.3,
  "energy_ha_per_atom": -0.0530,
  "de_polymorph_mev_per_atom": 2,
  "lattice_angstrom": [[5.535, 0.000, 0.000], [0.000, 5.875, 0.000], [-2.762, 0.000, 7.226]],
  "species": ["Na", "Na", "Cd", "Cd", "Cd", "Cd", "Cd", "Cd", "Ag", "Ag"],
  "fractional_positions": [[0.202, 0.250, 0.136], [0.798, 0.750, 0.864], [0.199, 0.000, 0.693], [0.199, 0.500, 0.693], [0.346, 0.750, 0.394], [0.654, 0.250, 0.606], [0.801, 0.000, 0.307], [0.801, 0.500, 0.307], [0.390, 0.750, 0.033], [0.610, 0.250, 0.967]]
}

# 5
{
  "formula": "Pu3SbCl3",
  "functional": "PBE",
  "state": "relaxed",
  "energy_ha_per_atom": -0.2975,
  "e_form_raw_ev_per_atom": -0.57,
  "lattice_angstrom": [[3.191, 1.842, 10.401], [-3.191, 1.842, 10.401], [0.000, -3.685, 10.401]],
  "species": ["Pu", "Pu", "Pu", "Pu", "Pu", "Pu", "Sb", "Sb", "Cl", "Cl", "Cl", "Cl", "Cl", "Cl"],
  "fractional_positions": [[0.228, 0.442, 0.655], [0.345, 0.772, 0.558], [0.442, 0.655, 0.228], [0.558, 0.345, 0.772], [0.655, 0.228, 0.442], [0.772, 0.558, 0.345], [0.167, 0.167, 0.167], [0.833, 0.833, 0.833], [0.032, 0.185, 0.608], [0.185, 0.608, 0.032], [0.392, 0.968, 0.815], [0.608, 0.032, 0.185], [0.815, 0.392, 0.968], [0.968, 0.815, 0.392]]
}

# 6
{
  "formula": "Cs2BiAsI6",
  "functional": "PBE",
  "state": "relaxed",
  "energy_ha_per_atom": -0.0984,
  "e_form_raw_ev_per_atom": -0.72,
  "lattice_angstrom": [[-4.310, 4.310, 6.182], [4.310, -4.310, 6.182], [4.310, 4.310, -6.182]],
  "species": ["Cs", "Cs", "Bi", "As", "I", "I", "I", "I", "I", "I"],
  "fractional_positions": [[0.250, 0.750, 0.500], [0.750, 0.250, 0.500], [0.000, 0.000, 0.000], [0.500, 0.500, 0.000], [0.256, 0.256, 0.000], [0.258, 0.258, 0.516], [0.258, 0.742, 0.000], [0.742, 0.258, 0.000], [0.742, 0.742, 0.484], [0.744, 0.744, 0.000]]
}